1.
Tb2TmCo2 | PBE | optimized geometry

Cell: 6.445 6.445 10.815 Å, 118.75 118.75 34.30°
Positions (direct):
Tb 0.034 0.034 0.194
Tb 0.165 0.165 0.575
Tb 0.835 0.835 0.425
Tb 0.966 0.966 0.806
Tm 0.284 0.284 0.137
Tm 0.716 0.716 0.863
Co 0.394 0.394 0.953
Co 0.492 0.492 0.608
Co 0.508 0.508 0.392
Co 0.606 0.606 0.047

Results
energy above the lowest structure with this stoichiometry	0.0172	eV/atom
DFT total energy	-5.737	eV/atom
N(E_F)	9.5	states/eV/cell
magnetic moment	0.000	μB/atom
space-group type	C2/m
ΔE_f	-0.148	eV per atom



2.
LiCaNO2 | PBE | optimized geometry

Cell: 3.848 3.848 3.825 Å, 90.00 90.00 90.00°
Positions (direct):
Li 0.000 0.000 0.000
Ca 0.500 0.500 0.500
N 0.000 0.000 0.500
O 0.000 0.500 0.000
O 0.500 0.000 0.000

Results
DFT total energy	-4.879	eV/atom
energy relative to the elements, uncorrected	-447.4	meV/atom
N(E_F)	1.0	states/eV/cell
magnetic moment	0.801	μB/atom
space-group type	P4/mmm



3.
La3DyPb5 | PBE | optimized geometry

Cell: 9.820 9.820 6.744 Å, 90.00 90.00 120.00°
Positions (direct):
La 0.000 0.382 0.250
La 0.000 0.618 0.750
La 0.382 0.000 0.250
La 0.382 0.382 0.750
La 0.618 0.000 0.750
La 0.618 0.618 0.250
Dy 0.000 0.000 0.000
Dy 0.000 0.000 0.500
Pb 0.000 0.281 0.750
Pb 0.000 0.719 0.250
Pb 0.281 0.000 0.750
Pb 0.281 0.281 0.250
Pb 0.333 0.667 0.000
Pb 0.333 0.667 0.500
Pb 0.667 0.333 0.000
Pb 0.667 0.333 0.500
Pb 0.719 0.000 0.250
Pb 0.719 0.719 0.750

Results
DFT total energy	-4.751	eV/atom
N(E_F)	19.7	states/eV/cell
magnetic moment	0.000	μB/atom
space-group type	P6_3/mcm
ΔE_f	-0.537	eV per atom



4.
Rb2Re2Mo | PBE | optimized geometry

Cell: 6.384 6.384 6.451 Å, 90.00 90.00 90.00°
Positions (direct):
Rb 0.181 0.319 0.000
Rb 0.319 0.819 0.000
Rb 0.681 0.181 0.000
Rb 0.819 0.681 0.000
Re 0.133 0.633 0.500
Re 0.367 0.133 0.500
Re 0.633 0.867 0.500
Re 0.867 0.367 0.500
Mo 0.000 0.000 0.500
Mo 0.500 0.500 0.500

Results
energy above the lowest structure with this stoichiometry	0.0000	eV/atom
DFT total energy	-6.257	eV/atom
N(E_F)	4.8	states/eV/cell
magnetic moment	0.000	μB/atom
space-group type	P4/mbm
ΔE_f	1.275	eV per atom



5.
ZrScAsSe2 | PBE | optimized geometry

Cell: 5.112 5.112 5.238 Å, 90.00 90.00 90.00°
Positions (direct):
Zr 0.000 0.000 0.000
Sc 0.500 0.500 0.500
As 0.000 0.000 0.500
Se 0.000 0.500 0.000
Se 0.500 0.000 0.000

Results
energy above the lowest structure with this stoichiometry	0.0000	eV/atom
DFT total energy	-5.734	eV/atom
energy relative to the elements, uncorrected	-434.2	meV/atom
N(E_F)	2.4	states/eV/cell
magnetic moment	0.016	μB/atom
space-group type	P4/mmm



6.
HfMg6Ga | PBE | optimized geometry

Cell: 4.898 6.379 6.379 Å, 59.22 90.00 90.00°
Positions (direct):
Hf 0.000 0.000 0.000
Mg 0.000 0.489 0.489
Mg 0.000 0.491 0.993
Mg 0.000 0.993 0.491
Mg 0.500 0.150 0.655
Mg 0.500 0.649 0.649
Mg 0.500 0.655 0.150
Ga 0.500 0.140 0.140

Results
energy above the lowest structure with this stoichiometry	0.0064	eV/atom
DFT total energy	-2.799	eV/atom
N(E_F)	4.5	states/eV/cell
magnetic moment	0.000	μB/atom
space-group type	Amm2
ΔE_f	0.020	eV per atom



7.
NdDy5Bi4 | PBE | optimized geometry

Cell: 10.230 10.230 7.798 Å, 101.50 101.50 25.04°
Positions (direct):
Nd 0.000 0.000 0.000
Dy 0.000 0.000 0.500
Dy 0.304 0.304 0.389
Dy 0.312 0.312 0.914
Dy 0.688 0.688 0.086
Dy 0.696 0.696 0.611
Bi 0.137 0.137 0.328
Bi 0.436 0.436 0.226
Bi 0.564 0.564 0.774
Bi 0.863 0.863 0.672

Results
DFT total energy	-4.896	eV/atom
N(E_F)	7.4	states/eV/cell
magnetic moment	0.212	μB/atom
space-group type	C2/m
ΔE_f	-0.566	eV per atom



8.
NaZr2Te2 | PBE | optimized geometry

Cell: 8.111 8.111 8.111 Å, 148.77 148.77 44.75°
Positions (direct):
Na 0.000 0.000 0.000
Zr 0.250 0.750 0.500
Zr 0.750 0.250 0.500
Te 0.382 0.382 0.000
Te 0.618 0.618 0.000

Results
energy above the lowest structure with this stoichiometry	0.0000	eV/atom
DFT total energy	-5.544	eV/atom
energy relative to the elements, uncorrected	-604.1	meV/atom
N(E_F)	3.9	states/eV/cell
magnetic moment	0.000	μB/atom
space-group type	I4/mmm



9.
TaTl2Cr | PBE | optimized geometry

Cell: 5.236 5.236 5.236 Å, 130.78 130.78 72.16°
Positions (direct):
Ta 0.000 0.000 0.000
Tl 0.250 0.750 0.500
Tl 0.750 0.250 0.500
Cr 0.500 0.500 0.000

Results
energy above the lowest structure with this stoichiometry	0.2766	eV/atom
DFT total energy	-5.784	eV/atom
N(E_F)	2.4	states/eV/cell
magnetic moment	0.510	μB/atom
space-group type	I4/mmm
ΔE_f	0.768	eV per atom



10.
TmLuCoAu | PBE | optimized geometry

Cell: 4.841 4.841 4.841 Å, 60.00 60.00 60.00°
Positions (direct):
Tm 0.000 0.000 0.000
Lu 0.500 0.500 0.500
Co 0.250 0.250 0.250
Au 0.750 0.750 0.750

Results
DFT total energy	-5.347	eV/atom
N(E_F)	3.0	states/eV/cell
magnetic moment	0.110	μB/atom
space-group type	F-43m
ΔE_f	-0.503	eV per atom



11.
VGa2Ru | PBE | optimized geometry

Cell: 5.522 5.522 5.522 Å, 103.18 103.18 122.95°
Positions (direct):
V 0.000 0.000 0.000
V 0.750 0.250 0.500
Ga 0.131 0.125 0.506
Ga 0.375 0.869 0.994
Ga 0.619 0.625 0.494
Ga 0.875 0.381 0.006
Ru 0.250 0.750 0.500
Ru 0.500 0.500 0.000

Results
DFT total energy	-5.903	eV/atom
N(E_F)	7.0	states/eV/cell
magnetic moment	0.000	μB/atom
space-group type	I-42d
ΔE_f	0.210	eV per atom



12.
Ac2As3PtRh4 | PBE | optimized geometry

Cell: 4.365 4.365 10.432 Å, 90.00 90.00 90.00°
Positions (direct):
Ac 0.000 0.500 0.241
Ac 0.500 0.000 0.759
As 0.000 0.000 0.000
As 0.000 0.500 0.627
As 0.500 0.000 0.373
Pt 0.500 0.500 0.000
Rh 0.000 0.000 0.500
Rh 0.000 0.500 0.860
Rh 0.500 0.000 0.140
Rh 0.500 0.500 0.500

Results
DFT total energy	-6.574	eV/atom
N(E_F)	8.4	states/eV/cell
magnetic moment	0.000	μB/atom
space-group type	P-4m2
ΔE_f	-0.813	eV per atom



Question: Which formula does entry 7 have?
Answer: NdDy5Bi4



Question: Look up the DFT total energy of the sixth one.
Answer: -2.799 eV/atom